Below is crystalline LaBeGe3 at its relaxed geometry, with properties calculated at the PBE level.

The structure in CIF format:
```
data_LaBeGe3
_symmetry_space_group_name_H-M 'P 1'
_symmetry_Int_Tables_number 1
_symmetry_space_group_name_Hall 'P 1'
_cell_length_a 4.118
_cell_length_b 6.287
_cell_length_c 8.445
_cell_angle_alpha 87.94
_cell_angle_beta 89.95
_cell_angle_gamma 70.91
loop_
_atom_site_label
_atom_site_type_symbol
_atom_site_fract_x
_atom_site_fract_y
_atom_site_fract_z
La1 La 0.000 0.000 0.000
La2 La 0.308 0.383 0.343
Be1 Be 0.373 0.258 0.716
Be2 Be 0.598 0.803 0.302
Ge1 Ge 0.015 0.970 0.357
Ge2 Ge 0.151 0.692 0.715
Ge3 Ge 0.297 0.408 0.964
Ge4 Ge 0.695 0.606 0.558
Ge5 Ge 0.699 0.603 0.072
Ge6 Ge 0.925 0.153 0.625
```

As for the crystal system: triclinic. Its relative energy among the computed polymorphs is 0.00 eV per formula unit. For the energy relative to the elements, the calculation gives -323 meV/atom.